[1]
V2ReMoW | the Alexandria database | PBE | optimized geometry; DFT total energy = -10.51 eV per atom; N(E_F) = 5.17 states/eV/f.u.; ΔH_f (0 K) = 1.90 eV per formula unit
1.0
6.226 0.000 0.000
0.000 2.911 0.000
-2.131 0.000 8.583
V Re Mo W
4 2 2 2
direct
0.056 0.250 0.149
0.426 0.750 0.357
0.574 0.250 0.643
0.944 0.750 0.851
0.280 0.750 0.742
0.720 0.250 0.258
0.152 0.250 0.455
0.848 0.750 0.545
0.350 0.750 0.054
0.650 0.250 0.946

=====

[2]
VReMo3W | the Alexandria database | PBE | optimized geometry; DFT total energy = -11.24 eV per atom; N(E_F) = 3.95 states/eV/f.u.; ΔH_f (0 K) = -0.42 eV per formula unit
1.0
6.982 0.000 0.000
0.000 3.137 0.000
-2.822 0.000 8.421
V Re Mo W
2 2 6 2
direct
0.001 0.250 0.122
0.999 0.750 0.878
0.324 0.750 0.204
0.676 0.250 0.796
0.330 0.250 0.958
0.332 0.250 0.458
0.335 0.750 0.710
0.665 0.250 0.290
0.668 0.750 0.542
0.670 0.750 0.042
0.000 0.250 0.628
0.000 0.750 0.372

=====

DFT total energy of number 2 (VReMo3W)? -11.24 eV per atom

=====

Repeat the second record exactly.
VReMo3W | the Alexandria database | PBE | optimized geometry; DFT total energy = -11.24 eV per atom; N(E_F) = 3.95 states/eV/f.u.; ΔH_f (0 K) = -0.42 eV per formula unit
1.0
6.982 0.000 0.000
0.000 3.137 0.000
-2.822 0.000 8.421
V Re Mo W
2 2 6 2
direct
0.001 0.250 0.122
0.999 0.750 0.878
0.324 0.750 0.204
0.676 0.250 0.796
0.330 0.250 0.958
0.332 0.250 0.458
0.335 0.750 0.710
0.665 0.250 0.290
0.668 0.750 0.542
0.670 0.750 0.042
0.000 0.250 0.628
0.000 0.750 0.372